Entry from Alexandria via LeMat-Bulk: a relaxed structure of BaSc3Co (GGA-PBE).

```
BaSc3Co
1.0
5.179 0.000 0.000
0.000 5.179 0.000
0.000 0.000 5.179
Sc Ba Co
3 1 1
Cartesian
2.589 0.000 0.000
0.000 2.589 0.000
0.000 0.000 2.589
0.000 0.000 0.000
2.589 2.589 2.589
```

**Theoretical density**: 3959 kg/m³
**Energy relative to the elements**: 1766 meV/atom
**Symmetry**: Pm-3m (221)
**Electronic total energy**: -3.84 eV per atom
**Excess energy over the best structure of this formula in the dataset**: 1763.5 meV per atom